A plane-wave DFT calculation with GGA-PBE was carried out for crystalline SrZn3Ga9 at its relaxed geometry.

Cell lengths 7.2553, 7.2553, 6.9076 Å; angles 97.03, 97.03, 133.58 degrees
With the nearest neighbours (Å) after each atom.
Positions (direct):
Sr  0.0000  0.0000  0.0000  14 Ga 3.35-3.60, 6 Zn 3.63-3.74
Zn  0.0000  0.5000  0.0000  6 Ga 2.69-2.81, 2 Zn 2.86
Zn  0.5000  0.0000  0.0000  6 Ga 2.69-2.81, 2 Zn 2.86
Zn  0.5000  0.5000  0.5000  6 Ga 2.66-2.86
Ga  0.0000  0.0000  0.5000  2 Zn 2.86, 8 Ga 2.89-2.91
Ga  0.0020  0.3591  0.3567  4 Ga 2.68-2.98, 2 Zn 2.78-2.98
Ga  0.2898  0.5089  0.7854  3 Zn 2.66-2.81, 3 Ga 2.83-2.92
Ga  0.3591  0.0020  0.3567  4 Ga 2.68-2.98, 2 Zn 2.78-2.98
Ga  0.4911  0.7102  0.2146  3 Zn 2.66-2.81, 3 Ga 2.83-2.92
Ga  0.5089  0.2898  0.7854  3 Zn 2.66-2.81, 3 Ga 2.83-2.92
Ga  0.6409  0.9980  0.6433  4 Ga 2.68-2.98, 2 Zn 2.78-2.98
Ga  0.7102  0.4911  0.2146  3 Zn 2.66-2.81, 3 Ga 2.83-2.92
Ga  0.9980  0.6409  0.6433  4 Ga 2.68-2.98, 2 Zn 2.78-2.98

Final energy, eV/atom: -2.62
M_tot, μB/atom: 0.0000
SG: C2/m, No. 12